{
  "formula": "InBiB3",
  "functional": "PBE",
  "state": "relaxed",
  "ef_ev_per_atom": 2.06,
  "magmom_total_mub_per_cell": 0.00,
  "lattice": [[4.554, 0.000, 0.000], [0.000, 4.554, 0.000], [0.000, 0.000, 4.554]],
  "species": ["In", "Bi", "B", "B", "B"],
  "frac_coords": [[0.000, 0.000, 0.000], [0.500, 0.500, 0.500], [0.000, 0.000, 0.500], [0.000, 0.500, 0.000], [0.500, 0.000, 0.000]]
}